No. 1
# MgAlCd2

A PBEsol-optimized structure of MgAlCd2 (meta-GGA SCAN, Alexandria via LeMat-Bulk).

abc: 3.099 4.291 5.994
angles: 90.00 90.00 90.00
Element x y z (fractional)
Cd (0.000, 0.000, 0.990)
Mg (0.000, 0.000, 0.502)
Al (0.500, 0.500, 0.751)
Cd (0.500, 0.500, 0.256)

Calculated values
For the density of states at the Fermi level, the calculation gives 0.35 states/eV per atom. The value obtained for the formation enthalpy at 0 K is 0.001 eV per atom. The value obtained for the size of the total moment is 0.00 μB per cell. As for the volume: 79.71 Å³/f.u. The density comes out at 5.75 Mg/m³.


No. 2
# MoAs4

A PBEsol-optimized structure of MoAs4 (meta-GGA SCAN, Alexandria via LeMat-Bulk).

abc: 5.098 5.098 5.098
angles: 109.47 109.47 109.47
Element x y z (fractional)
Mo (0.000, 0.000, 0.000)
As (0.000, 0.000, 0.500)
As (0.000, 0.500, 0.000)
As (0.500, 0.000, 0.000)
As (0.500, 0.500, 0.500)

Calculated values
For the density of states at the Fermi level, the calculation gives 0.78 states/eV per atom. The value obtained for the formation enthalpy at 0 K is 0.406 eV per atom. The value obtained for the size of the total moment is 0.00 μB per cell. As for the volume: 101.99 Å³/f.u. The density comes out at 6.44 Mg/m³.


Question: What is the volume in the second record?
Answer: 101.99 Å³/f.u.


Question: What is the formation enthalpy at 0 K in the second record?
Answer: 0.406 eV per atom